Record 1
This record from Alexandria via LeMat-Bulk describes an optimized crystal structure of Ba2Cu3BrClO4. The functional is PBE.

Results
* electronic total energy: -5.066 eV per atom
* space-group type: No. 119
* formation energy without anion corrections: -1476.1 meV/atom
* magnetization: 0.057 μB/atom

```
data_Ba2Cu3BrClO4
_space_group_name_H-M_alt 'P 1'
_space_group_IT_number 1
_cell_length_a 8.3911
_cell_length_b 8.3911
_cell_length_c 8.3911
_cell_angle_alpha 141.23
_cell_angle_beta 141.23
_cell_angle_gamma 55.99
loop_
_space_group_symop_operation_xyz
'x,y,z'
loop_
_atom_site_label
_atom_site_type_symbol
_atom_site_fract_x
_atom_site_fract_y
_atom_site_fract_z
Ba1 Ba 0.1343 0.1343 0.0000
Ba2 Ba 0.8657 0.8657 0.0000
Cu1 Cu 0.0002 0.5002 0.5000
Cu2 Cu 0.4998 0.9998 0.5000
Cu3 Cu 0.5000 0.5000 0.0000
Br1 Br 0.2500 0.7500 0.5000
Cl1 Cl 0.7500 0.2500 0.5000
O1 O 0.2564 0.2564 0.5127
O2 O 0.2564 0.7436 0.0000
O3 O 0.7436 0.2564 0.0000
O4 O 0.7436 0.7436 0.4873
```

=====

Record 2
This record from Alexandria via LeMat-Bulk describes an optimized crystal structure of Ba4GeBr2Cl. The functional is PBE.

Results
* electronic total energy: -3.669 eV per atom
* space-group type: No. 10
* formation energy without anion corrections: -1481.6 meV/atom
* magnetization: 0.000 μB/atom

```
data_Ba4GeBr2Cl
_space_group_name_H-M_alt 'P 1'
_space_group_IT_number 1
_cell_length_a 8.1191
_cell_length_b 4.8203
_cell_length_c 8.3438
_cell_angle_alpha 90.00
_cell_angle_beta 109.56
_cell_angle_gamma 90.00
loop_
_space_group_symop_operation_xyz
'x,y,z'
loop_
_atom_site_label
_atom_site_type_symbol
_atom_site_fract_x
_atom_site_fract_y
_atom_site_fract_z
Ba1 Ba 0.2345 0.0000 0.2270
Ba2 Ba 0.2442 0.5000 0.7699
Ba3 Ba 0.7558 0.5000 0.2301
Ba4 Ba 0.7655 0.0000 0.7730
Ge1 Ge 0.0000 0.5000 0.0000
Br1 Br 0.0000 0.0000 0.5000
Br2 Br 0.5000 0.5000 0.5000
Cl1 Cl 0.5000 0.0000 0.0000
```